Compound: CsSnBi
Source: Alexandria via LeMat-Bulk
Functional: PBE
Structure: optimized geometry

Properties
uncorrected energy	-0.2295	Ry per atom
DFT formation energy	-0.21	eV/atom
M_tot	0.00	μB/cell

a = 4.1125 Å, b = 4.1125 Å, c = 14.1460 Å
α = 90.00°, β = 90.00°, γ = 90.00°
Closest atoms and distances in Å follow each position.
Space group I4mm (No. 107)
One atom of each set of equivalent atoms:
Cs 0.0000 0.0000 0.0000  5 Sn 4.07-4.23, 4 Cs 4.11, 5 Bi 4.11-4.16
Sn 0.0000 0.0000 0.2990  4 Bi 3.19
Bi 0.0000 0.0000 0.7056  4 Sn 3.19

***

Compound: InFeSb2
Source: Alexandria via LeMat-Bulk
Functional: PBE
Structure: optimized geometry

Properties
uncorrected energy	-0.3230	Ry per atom
E_form (uncorrected)	466	meV per atom
M_tot	5.67	μB/cell

a = 6.1683 Å, b = 7.9875 Å, c = 3.7666 Å
α = 90.00°, β = 90.00°, γ = 90.00°
Closest atoms and distances in Å follow each position.
Space group Cmmm (No. 65)
One atom of each set of equivalent atoms:
In 0.0000 0.0000 0.0000  2 Fe 3.08, 8 Sb 3.15
Fe 0.0000 0.5000 0.0000  2 In 3.08, 8 Sb 3.15
Sb 0.2500 0.2500 0.5000  2 Sb 3.08, 4 In 3.15, 4 Fe 3.15